Record 1
VASP calculation (PBE with a Hubbard U) on SnWO3 after structural relaxation.

Cell: 4.065 4.065 4.065 Å, 90.00 90.00 90.00°
Last column: magnetic moment on the atom in μB.
Sites, in units of the cell vectors:
O 0.000 0.500 0.000  -0.01
O 0.500 0.000 0.000  -0.03
O 0.000 0.000 0.500  -0.03
W 0.000 0.000 0.000  1.80
Sn 0.500 0.500 0.500  0.04

Summary:
Electronic total energy: -6.580 eV per atom

Record 2
VASP calculation (PBE with a Hubbard U) on SnW2O after structural relaxation.

Cell: 4.511 4.511 4.511 Å, 60.00 60.00 60.00°
Last column: magnetic moment on the atom in μB.
Sites, in units of the cell vectors:
W 0.250 0.250 0.250  1.00
W 0.750 0.750 0.750  1.00
Sn 0.500 0.500 0.500  -0.10
O 0.000 0.000 0.000  -0.21

Summary:
Electronic total energy: -4.590 eV per atom

Record 3
VASP calculation (PBE with a Hubbard U) on SnW3O after structural relaxation.

Cell: 5.498 5.498 5.498 Å, 90.00 90.00 90.00°
Last column: magnetic moment on the atom in μB.
Sites, in units of the cell vectors:
W 0.000 0.000 0.500  3.40
W 0.500 0.000 0.000  3.29
W 0.000 0.500 0.000  3.37
O 0.500 0.500 0.500  0.28
Sn 0.000 0.000 0.000  -0.16

Summary:
Electronic total energy: -3.449 eV per atom

Record 4
VASP calculation (PBE with a Hubbard U) on SnW3O after structural relaxation.

Cell: 4.293 4.293 4.293 Å, 90.00 90.00 90.00°
Sites, in units of the cell vectors:
W 0.000 0.500 0.000
W 0.500 0.000 0.000
W 0.000 0.000 0.500
O 0.000 0.000 0.000
Sn 0.500 0.500 0.500

Summary:
Electronic total energy: -5.351 eV per atom

Record 5
VASP calculation (PBE with a Hubbard U) on Sn2WO after structural relaxation.

Cell: 6.652 6.652 5.968 Å, 56.14 56.14 90.00°
Last column: magnetic moment on the atom in μB.
Sites, in units of the cell vectors:
Sn 0.555 0.125 0.250  -0.14
Sn 0.875 0.805 0.750  -0.16
Sn 0.375 0.445 0.750  -0.16
Sn 0.195 0.625 0.250  -0.15
W 0.000 0.000 0.000  2.51
W 0.750 0.250 0.500  2.51
O 0.250 0.750 0.500  -0.01
O 0.500 0.500 0.000  -0.02

Summary:
Electronic total energy: -4.712 eV per atom

Record 6
VASP calculation (PBE with a Hubbard U) on SnWO4 after structural relaxation.

Cell: 5.049 5.633 12.074 Å, 90.00 90.00 90.00°
Sites, in units of the cell vectors:
O 0.602 0.096 0.896
O 0.498 0.360 0.705
O 0.102 0.904 0.396
O 0.002 0.360 0.795
O 0.502 0.860 0.705
O 0.898 0.404 0.396
O 0.498 0.140 0.295
O 0.898 0.096 0.604
O 0.602 0.404 0.104
O 0.998 0.860 0.795
O 0.998 0.640 0.205
O 0.398 0.596 0.896
O 0.002 0.140 0.205
O 0.398 0.904 0.104
O 0.502 0.640 0.295
O 0.102 0.596 0.604
W 0.750 0.131 0.750
W 0.750 0.369 0.250
W 0.250 0.869 0.250
W 0.250 0.631 0.750
Sn 0.784 0.750 0.500
Sn 0.716 0.750 0.000
Sn 0.216 0.250 0.500
Sn 0.284 0.250 0.000

Summary:
Electronic total energy: -6.948 eV per atom

Record 7
VASP calculation (PBE with a Hubbard U) on ZnSnWO6 after structural relaxation.

Cell: 5.163 5.163 9.132 Å, 90.00 90.00 120.00°
Sites, in units of the cell vectors:
O 0.324 0.974 0.129
O 0.350 0.324 0.871
O 0.026 0.350 0.129
O 0.974 0.650 0.871
O 0.676 0.026 0.871
O 0.650 0.974 0.371
O 0.324 0.350 0.371
O 0.974 0.324 0.629
O 0.676 0.650 0.629
O 0.650 0.676 0.129
O 0.350 0.026 0.629
O 0.026 0.676 0.371
W 0.333 0.667 0.250
W 0.667 0.333 0.750
Zn 0.333 0.667 0.750
Zn 0.667 0.333 0.250
Sn 0.000 0.000 0.000
Sn 0.000 0.000 0.500

Summary:
Electronic total energy: -6.359 eV per atom

Record 8
VASP calculation (PBE with a Hubbard U) on ZrSnWO2 after structural relaxation.

Cell: 3.945 6.364 3.945 Å, 90.00 90.00 90.00°
Last column: magnetic moment on the atom in μB.
Sites, in units of the cell vectors:
Zr 0.000 0.500 0.000  -0.01
O 0.500 0.000 0.000  -0.15
O 0.000 0.000 0.500  -0.07
W 0.000 0.000 0.000  0.98
Sn 0.500 0.500 0.500  -0.03

Summary:
Electronic total energy: -6.640 eV per atom

Number 1: spin magnetization 1.995 μB per cell. Number 2: spin magnetization 2.002 μB per cell. Number 3: spin magnetization 11.940 μB per cell. Number 4: spin magnetization 0.018 μB per cell. Number 5: spin magnetization 4.758 μB per cell. Number 6: spin magnetization 0.000 μB per cell. Number 7: spin magnetization 0.000 μB per cell. Number 8: spin magnetization 0.849 μB per cell.